# 1
Pr3Dy6Ho2In | GGA-PBE | optimized geometry

Geometry as POSCAR:
```
Pr3Dy6Ho2In
1.0
-0.847 4.800 -3.777
1.072 -5.606 -2.332
-11.390 -1.836 1.902
Pr Dy Ho In
3 6 2 1
direct
0.167 0.833 0.500
0.833 0.167 0.500
0.500 0.500 0.500
0.920 0.592 0.758
0.753 0.753 0.243
0.080 0.408 0.242
0.592 0.920 0.758
0.247 0.247 0.757
0.408 0.080 0.242
0.334 0.666 0.000
0.666 0.334 0.000
0.000 0.000 0.000
```

Properties
Calculated formation energy ... -0.03 eV/atom
Energy ... -4.52 eV/atom
Space group ... C2/m, No. 12
Crystal system ... monoclinic


# 2
Tb15NdEr4 | GGA-PBE | optimized geometry

Geometry as POSCAR:
```
Tb15NdEr4
1.0
-2.129 4.201 -1.771
-2.763 -2.744 -3.187
-18.137 -1.883 17.343
Tb Nd Er
15 1 4
direct
0.500 0.500 0.000
0.500 0.500 0.202
0.500 0.500 0.400
0.500 0.500 0.600
0.500 0.500 0.798
0.500 0.000 0.102
0.500 0.000 0.301
0.500 0.000 0.500
0.500 0.000 0.699
0.500 0.000 0.898
0.000 0.500 0.102
0.000 0.500 0.301
0.000 0.500 0.500
0.000 0.500 0.699
0.000 0.500 0.898
0.000 0.000 0.000
0.000 0.000 0.201
0.000 0.000 0.400
0.000 0.000 0.600
0.000 0.000 0.799
```

Properties
Calculated formation energy ... 0.02 eV/atom
Energy ... -4.61 eV/atom
Space group ... P4/mmm, No. 123
Crystal system ... tetragonal


# 3
LaSi2Te | GGA-PBE | optimized geometry

Geometry as POSCAR:
```
LaSi2Te
1.0
-3.852 1.322 -0.032
-0.693 -1.921 4.047
1.266 3.805 4.698
La Si Te
1 2 1
direct
0.500 0.808 0.761
0.000 0.158 0.996
0.500 0.107 0.199
0.000 0.427 0.543
```

Properties
Uncorrected formation energy ... -0.46 eV per atom
Energy ... -5.18 eV/atom
Space group ... Pm, No. 6
Crystal system ... monoclinic


What did the second record say?
Tb15NdEr4 | GGA-PBE | optimized geometry

Geometry as POSCAR:
```
Tb15NdEr4
1.0
-2.129 4.201 -1.771
-2.763 -2.744 -3.187
-18.137 -1.883 17.343
Tb Nd Er
15 1 4
direct
0.500 0.500 0.000
0.500 0.500 0.202
0.500 0.500 0.400
0.500 0.500 0.600
0.500 0.500 0.798
0.500 0.000 0.102
0.500 0.000 0.301
0.500 0.000 0.500
0.500 0.000 0.699
0.500 0.000 0.898
0.000 0.500 0.102
0.000 0.500 0.301
0.000 0.500 0.500
0.000 0.500 0.699
0.000 0.500 0.898
0.000 0.000 0.000
0.000 0.000 0.201
0.000 0.000 0.400
0.000 0.000 0.600
0.000 0.000 0.799
```

Properties
Calculated formation energy ... 0.02 eV/atom
Energy ... -4.61 eV/atom
Space group ... P4/mmm, No. 123
Crystal system ... tetragonal


Number 1 is which compound? Pr3Dy6Ho2In